Compound: CaAlAg
Source: Alexandria via LeMat-Bulk
Functional: PBE-GGA
Structure: optimized geometry

CIF file:
```
data_CaAlAg
_cell_length_a 6.9965
_cell_length_b 6.9965
_cell_length_c 6.9965
_cell_angle_alpha 90.00
_cell_angle_beta 90.00
_cell_angle_gamma 90.00
_symmetry_space_group_name_H-M 'P 1'
_symmetry_Int_Tables_number 1
loop_
_symmetry_equiv_pos_as_xyz
'x,y,z'
loop_
_atom_site_label
_atom_site_type_symbol
_atom_site_fract_x
_atom_site_fract_y
_atom_site_fract_z
_atom_site_occupancy
Ca1 Ca 0.0000 0.0000 0.0000 1
Ca2 Ca 0.0000 0.5000 0.5000 1
Ca3 Ca 0.5000 0.0000 0.5000 1
Ca4 Ca 0.5000 0.5000 0.0000 1
Al1 Al 0.2500 0.2500 0.7500 1
Al2 Al 0.2500 0.7500 0.2500 1
Al3 Al 0.7500 0.2500 0.2500 1
Al4 Al 0.7500 0.7500 0.7500 1
Ag1 Ag 0.2500 0.2500 0.2500 1
Ag2 Ag 0.2500 0.7500 0.7500 1
Ag3 Ag 0.7500 0.2500 0.7500 1
Ag4 Ag 0.7500 0.7500 0.2500 1
```

Computed properties:
* size of the total moment: 0.00 μB/atom
* final energy: -2.474 eV/atom